# Sc7Au, relaxed, DFT PBE
data_Sc7Au
_cell_length_a 6.377
_cell_length_b 6.377
_cell_length_c 6.377
_cell_angle_alpha 60.00
_cell_angle_beta 60.00
_cell_angle_gamma 60.00
_space_group_name_H-M_alt 'P 1'
_space_group_IT_number 1
_space_group_name_Hall 'P 1'
loop_
_atom_site_label
_atom_site_type_symbol
_atom_site_fract_x
_atom_site_fract_y
_atom_site_fract_z
Sc1 Sc 0.000 0.000 0.000
Sc2 Sc 0.000 0.000 0.500
Sc3 Sc 0.000 0.500 0.000
Sc4 Sc 0.000 0.500 0.500
Sc5 Sc 0.500 0.000 0.000
Sc6 Sc 0.500 0.000 0.500
Sc7 Sc 0.500 0.500 0.000
Au1 Au 0.500 0.500 0.500
# Total magnetic moment, μB per atom: 0.00
# Raw total energy, eV per atom: -6.050
# SG: Fm-3m (225)

***

# Sc2Au, relaxed, DFT PBE
data_Sc2Au
_cell_length_a 3.269
_cell_length_b 3.269
_cell_length_c 25.475
_cell_angle_alpha 90.00
_cell_angle_beta 90.00
_cell_angle_gamma 90.00
_space_group_name_H-M_alt 'P 1'
_space_group_IT_number 1
_space_group_name_Hall 'P 1'
loop_
_atom_site_label
_atom_site_type_symbol
_atom_site_fract_x
_atom_site_fract_y
_atom_site_fract_z
Sc1 Sc 0.000 0.250 0.305
Sc2 Sc 0.000 0.250 0.445
Sc3 Sc 0.000 0.750 0.555
Sc4 Sc 0.000 0.750 0.695
Sc5 Sc 0.500 0.250 0.055
Sc6 Sc 0.500 0.250 0.195
Sc7 Sc 0.500 0.750 0.805
Sc8 Sc 0.500 0.750 0.945
Au1 Au 0.000 0.250 0.875
Au2 Au 0.000 0.750 0.125
Au3 Au 0.500 0.250 0.625
Au4 Au 0.500 0.750 0.375
# Total magnetic moment, μB per atom: 0.14
# Raw total energy, eV per atom: -5.654
# SG: I4_1/amd (141)

***

# Sc6Au7, relaxed, DFT PBE
data_Sc6Au7
_cell_length_a 10.253
_cell_length_b 10.253
_cell_length_c 10.253
_cell_angle_alpha 31.75
_cell_angle_beta 31.75
_cell_angle_gamma 31.75
_space_group_name_H-M_alt 'P 1'
_space_group_IT_number 1
_space_group_name_Hall 'P 1'
loop_
_atom_site_label
_atom_site_type_symbol
_atom_site_fract_x
_atom_site_fract_y
_atom_site_fract_z
Sc1 Sc 0.051 0.051 0.051
Sc2 Sc 0.162 0.162 0.162
Sc3 Sc 0.331 0.331 0.331
Sc4 Sc 0.669 0.669 0.669
Sc5 Sc 0.838 0.838 0.838
Sc6 Sc 0.949 0.949 0.949
Au1 Au 0.087 0.586 0.586
Au2 Au 0.414 0.414 0.913
Au3 Au 0.414 0.913 0.414
Au4 Au 0.500 0.500 0.500
Au5 Au 0.586 0.087 0.586
Au6 Au 0.586 0.586 0.087
Au7 Au 0.913 0.414 0.414
# Total magnetic moment, μB per atom: 0.03
# Raw total energy, eV per atom: -5.150
# SG: R-3m (166)

***

Question: The highest raw total energy belongs to which entry?
Answer: Sc6Au7

***

Question: Which value of raw total energy does entry 3 give?
Answer: -5.150 eV per atom